1.
The following is a DFT calculation (PBE) of a geometry-optimized TaPb structure.

POSCAR file:
```
TaPb
1.0
-1.7780 2.5095 4.9810
1.7780 -2.5095 4.9810
1.7780 2.5095 -4.9810
Ta Pb
2 2
Direct
0.3949 0.1449 0.2500 Ta
0.6051 0.8551 0.7500 Ta
0.1384 0.3884 0.7500 Pb
0.8616 0.6116 0.2500 Pb
```

Results
size of the total moment = 0.00 μB/f.u.
offset from the most stable computed form = 0.642 eV/f.u.
SG = Imma, No. 74
formation energy from the elements = 0.613 eV/atom
E_tot = -7.168 eV per atom


2.
The following is a DFT calculation (PBE) of a geometry-optimized Ta5Pb3 structure.

POSCAR file:
```
Ta5Pb3
1.0
8.4635 0.0000 0.0000
-4.2317 7.3296 0.0000
0.0000 0.0000 5.4538
Ta Pb
10 6
Direct
0.0000 0.1934 0.2500 Ta
0.0000 0.8066 0.7500 Ta
0.1934 0.0000 0.2500 Ta
0.1934 0.1934 0.7500 Ta
0.3333 0.6667 0.0000 Ta
0.3333 0.6667 0.5000 Ta
0.6667 0.3333 0.0000 Ta
0.6667 0.3333 0.5000 Ta
0.8066 0.0000 0.7500 Ta
0.8066 0.8066 0.2500 Ta
0.0000 0.4012 0.7500 Pb
0.0000 0.5988 0.2500 Pb
0.4012 0.0000 0.7500 Pb
0.4012 0.4012 0.2500 Pb
0.5988 0.0000 0.2500 Pb
0.5988 0.5988 0.7500 Pb
```

Results
size of the total moment = 0.00 μB/f.u.
SG = P6_3/mcm, No. 193
formation energy from the elements = 0.556 eV/atom
E_tot = -8.242 eV per atom


3.
The following is a DFT calculation (PBE) of a geometry-optimized Ta2Pb structure.

POSCAR file:
```
Ta2Pb
1.0
8.4735 0.0000 0.0000
-4.2367 7.3382 0.0000
0.0000 0.0000 2.9280
Ta Pb
6 3
Direct
0.0000 0.3132 0.0000 Ta
0.0000 0.6454 0.5000 Ta
0.3132 0.0000 0.0000 Ta
0.3546 0.3546 0.5000 Ta
0.6454 0.0000 0.5000 Ta
0.6868 0.6868 0.0000 Ta
0.0000 0.0000 0.5000 Pb
0.3333 0.6667 0.0000 Pb
0.6667 0.3333 0.0000 Pb
```

Results
size of the total moment = 0.00 μB/f.u.
SG = P-62m, No. 189
formation energy from the elements = 0.486 eV/atom
E_tot = -8.652 eV per atom